Record 1
Compound: Nd3SnSe3O4
Source: OQMD
Functional: PBE
Structure: relaxed

Properties
The calculation puts the total energy at -0.48964 Ry/atom.

a b c (Å): 8.442 6.712 6.712
angles (deg): 34.30 90.00 90.00
Element x y z (fractional)
Nd 0.500 0.013 0.013
O 0.763 0.084 0.084
O 0.000 0.590 0.590
Se 0.352 0.353 0.353
Se 0.648 0.353 0.353
Nd 0.237 0.685 0.685
O 0.237 0.084 0.084
Se 0.000 0.315 0.315
O 0.500 0.614 0.614
Nd 0.763 0.685 0.685
Sn 0.000 0.007 0.007

---

Record 2
Compound: Nd2SiO4
Source: OQMD
Functional: PBE
Structure: relaxed

Properties
The calculation puts the total energy at -0.56400 Ry/atom.

a b c (Å): 5.763 6.965 11.603
angles (deg): 90.00 125.15 90.00
Element x y z (fractional)
O 0.678 0.024 0.461
O 0.114 0.185 0.945
O 0.322 0.976 0.539
Nd 0.904 0.489 0.206
O 0.821 0.758 0.820
Si 0.379 0.195 0.618
O 0.821 0.742 0.320
O 0.114 0.315 0.445
O 0.632 0.140 0.130
O 0.179 0.242 0.180
Nd 0.312 0.852 0.068
Nd 0.096 0.989 0.294
O 0.322 0.524 0.039
Nd 0.904 0.011 0.706
Nd 0.688 0.148 0.932
Nd 0.096 0.511 0.794
O 0.632 0.360 0.630
O 0.678 0.476 0.961
Si 0.621 0.805 0.382
O 0.179 0.258 0.680
O 0.368 0.860 0.870
Si 0.379 0.305 0.118
O 0.886 0.685 0.555
O 0.886 0.815 0.055
O 0.368 0.640 0.370
Nd 0.688 0.352 0.432
Si 0.621 0.695 0.882
Nd 0.312 0.648 0.568

---

Record 3
Compound: Nd2SiO5
Source: OQMD
Functional: PBE
Structure: relaxed

Properties
The calculation puts the total energy at -0.60467 Ry/atom.

a b c (Å): 6.825 8.096 9.875
angles (deg): 90.59 110.22 114.93
Element x y z (fractional)
O 0.285 0.860 0.899
O 0.830 0.253 0.664
O 0.785 0.930 0.547
Nd 0.825 0.044 0.328
Si 0.451 0.542 0.183
O 0.597 0.479 0.664
O 0.025 0.640 0.601
O 0.808 0.570 0.953
Nd 0.952 0.456 0.172
O 0.600 0.424 0.192
O 0.975 0.360 0.399
O 0.586 0.753 0.164
O 0.170 0.747 0.336
O 0.954 0.021 0.836
Si 0.549 0.458 0.817
O 0.715 0.140 0.101
O 0.046 0.979 0.164
Si 0.226 0.958 0.317
O 0.484 0.076 0.308
Nd 0.048 0.544 0.828
Nd 0.328 0.115 0.040
O 0.215 0.070 0.453
Nd 0.175 0.956 0.672
O 0.403 0.521 0.336
O 0.192 0.430 0.047
Nd 0.672 0.385 0.460
Nd 0.328 0.615 0.540
O 0.400 0.576 0.808
O 0.414 0.247 0.836
Si 0.774 0.042 0.683
O 0.516 0.924 0.692
Nd 0.672 0.885 0.960

---

Record 4
Compound: Nd2SiO4
Source: OQMD
Functional: PBE
Structure: relaxed

Properties
The calculation puts the total energy at -0.56343 Ry/atom.

a b c (Å): 7.640 5.258 9.857
angles (deg): 90.00 90.00 90.00
Element x y z (fractional)
O 0.804 0.000 0.725
Nd 0.431 0.750 0.181
O 0.304 0.000 0.775
O 0.967 0.250 0.428
Si 0.829 0.750 0.628
O 0.698 0.750 0.496
O 0.696 0.500 0.225
O 0.196 0.500 0.275
O 0.467 0.250 0.072
O 0.033 0.750 0.572
O 0.696 0.000 0.225
Si 0.671 0.250 0.128
Si 0.171 0.250 0.372
Nd 0.931 0.750 0.319
O 0.804 0.500 0.725
Nd 0.856 0.750 0.953
Nd 0.144 0.250 0.047
O 0.802 0.250 0.996
Nd 0.644 0.250 0.453
O 0.196 0.000 0.275
Nd 0.069 0.250 0.681
Nd 0.569 0.250 0.819
O 0.304 0.500 0.775
Si 0.329 0.750 0.872
O 0.302 0.250 0.504
O 0.533 0.750 0.928
Nd 0.356 0.750 0.547
O 0.198 0.750 0.004

---

Record 5
Compound: Nd2SiO5
Source: OQMD
Functional: PBE
Structure: relaxed

Properties
The calculation puts the total energy at -0.60536 Ry/atom.

a b c (Å): 9.234 7.248 6.875
angles (deg): 90.00 108.18 90.00
Element x y z (fractional)
O 0.116 0.636 0.494
O 0.635 0.540 0.248
Si 0.702 0.415 0.456
Nd 0.390 0.349 0.092
Nd 0.022 0.376 0.235
O 0.882 0.622 0.047
Nd 0.610 0.849 0.408
O 0.884 0.136 0.006
O 0.594 0.239 0.442
Nd 0.022 0.124 0.735
O 0.118 0.378 0.953
O 0.704 0.569 0.636
Si 0.702 0.085 0.956
Nd 0.978 0.876 0.265
O 0.704 0.931 0.136
Nd 0.610 0.651 0.908
O 0.365 0.040 0.252
Si 0.298 0.585 0.544
O 0.884 0.364 0.506
O 0.118 0.122 0.453
O 0.296 0.431 0.364
O 0.296 0.069 0.864
O 0.594 0.261 0.942
O 0.365 0.460 0.752
O 0.882 0.878 0.547
Nd 0.390 0.151 0.592
Si 0.298 0.915 0.044
O 0.116 0.864 0.994
O 0.635 0.960 0.748
Nd 0.978 0.624 0.765
O 0.406 0.739 0.058
O 0.406 0.761 0.558

---

Record 6
Compound: Nd2SiTeO4
Source: OQMD
Functional: PBE
Structure: relaxed

Properties
The calculation puts the total energy at -0.55864 Ry/atom.

a b c (Å): 9.799 6.429 8.708
angles (deg): 90.00 94.62 90.00
Element x y z (fractional)
O 0.874 0.632 0.625
O 0.251 0.362 0.090
Nd 0.893 0.348 0.807
Nd 0.650 0.804 0.665
Si 0.874 0.809 0.943
O 0.749 0.862 0.410
O 0.126 0.368 0.375
O 0.843 0.990 0.814
Nd 0.350 0.196 0.335
Nd 0.350 0.304 0.835
O 0.251 0.138 0.590
Si 0.126 0.191 0.057
Te 0.595 0.287 0.613
Te 0.405 0.713 0.387
Te 0.405 0.787 0.887
O 0.020 0.692 0.921
Nd 0.893 0.152 0.307
O 0.980 0.308 0.079
Te 0.595 0.213 0.113
O 0.874 0.868 0.125
O 0.157 0.490 0.686
O 0.157 0.010 0.186
O 0.020 0.808 0.421
Si 0.874 0.691 0.443
O 0.980 0.192 0.579
O 0.749 0.638 0.910
Si 0.126 0.309 0.557
Nd 0.107 0.848 0.693
Nd 0.107 0.652 0.193
Nd 0.650 0.696 0.165
O 0.126 0.132 0.875
O 0.843 0.510 0.314

---

Record 7
Compound: Nd2SiTeO4
Source: OQMD
Functional: PBE
Structure: relaxed

Properties
The calculation puts the total energy at -0.55922 Ry/atom.

a b c (Å): 6.300 7.205 11.194
angles (deg): 90.00 90.00 90.00
Element x y z (fractional)
Si 0.887 0.750 0.000
Te 0.402 0.078 0.750
O 0.950 0.232 0.884
O 0.050 0.768 0.384
O 0.950 0.268 0.384
O 0.269 0.076 0.465
O 0.731 0.924 0.535
O 0.950 0.232 0.616
Si 0.113 0.250 0.500
Si 0.113 0.250 0.000
O 0.050 0.768 0.116
O 0.050 0.732 0.616
Si 0.887 0.750 0.500
O 0.269 0.424 0.965
O 0.269 0.076 0.035
Nd 0.887 0.538 0.250
O 0.950 0.268 0.116
Nd 0.389 0.750 0.500
Nd 0.389 0.750 0.000
Nd 0.113 0.462 0.750
Nd 0.887 0.962 0.750
Nd 0.113 0.038 0.250
O 0.731 0.576 0.035
O 0.269 0.424 0.535
O 0.050 0.732 0.884
O 0.731 0.576 0.465
Te 0.598 0.922 0.250
Nd 0.611 0.250 0.000
Nd 0.611 0.250 0.500
O 0.731 0.924 0.965
Te 0.598 0.578 0.750
Te 0.402 0.422 0.250

---

Record 8
Compound: Nd2Sm2O7
Source: OQMD
Functional: PBE
Structure: relaxed

Properties
The calculation puts the total energy at -0.57317 Ry/atom.

a b c (Å): 8.144 5.911 5.911
angles (deg): 35.61 90.00 90.00
Element x y z (fractional)
O 0.753 0.079 0.079
O 0.000 0.335 0.335
O 0.500 0.620 0.620
O 0.406 0.340 0.340
Sm 0.759 0.703 0.703
Nd 0.000 0.981 0.981
Sm 0.241 0.703 0.703
O 0.000 0.611 0.611
O 0.594 0.340 0.340
Nd 0.500 0.990 0.990
O 0.247 0.079 0.079

---

Record 9
Compound: Nd2Sn2O5
Source: OQMD
Functional: PBE
Structure: relaxed

Properties
The calculation puts the total energy at -0.49502 Ry/atom.

a b c (Å): 9.954 3.791 3.791
angles (deg): 90.00 90.00 90.00
Element x y z (fractional)
Nd 0.255 0.500 0.500
Sn 0.500 0.000 0.000
Nd 0.745 0.500 0.500
O 0.873 0.500 0.000
O 0.127 0.000 0.500
O 0.873 0.000 0.500
Sn 0.000 0.000 0.000
O 0.127 0.500 0.000
O 0.500 0.500 0.500

---

Record 10
Compound: NdSnO3
Source: OQMD
Functional: PBE
Structure: relaxed

Properties
The calculation puts the total energy at -0.50954 Ry/atom.

a b c (Å): 5.726 5.726 5.726
angles (deg): 63.37 63.37 63.37
Element x y z (fractional)
O 0.037 0.753 0.494
O 0.753 0.494 0.037
O 0.247 0.506 0.963
Nd 0.370 0.370 0.370
Nd 0.630 0.630 0.630
O 0.506 0.963 0.247
O 0.963 0.247 0.506
O 0.494 0.037 0.753
Sn 0.127 0.127 0.127
Sn 0.873 0.873 0.873

---

Record 11
Compound: Nd2Sn2O5
Source: OQMD
Functional: PBE
Structure: relaxed

Properties
The calculation puts the total energy at -0.48133 Ry/atom.

a b c (Å): 7.078 4.292 4.292
angles (deg): 90.00 90.00 90.00
Site moments in Bohr magnetons follow the coordinates.
Element x y z (fractional)
Sn 0.212 0.500 0.500  0.01
O 0.757 0.500 0.000  0.01
O 0.243 0.500 0.000  0.01
Sn 0.788 0.500 0.500  0.01
O 0.243 0.000 0.500  0.00
Nd 0.000 0.000 0.000  0.15
Nd 0.500 0.000 0.000  0.02
O 0.500 0.500 0.500  0.01
O 0.757 0.000 0.500  0.00

---

Record 12
Compound: Nd2Sn2O7
Source: OQMD
Functional: PBE
Structure: relaxed

Properties
The calculation puts the total energy at -0.53467 Ry/atom.

a b c (Å): 7.503 7.503 7.503
angles (deg): 120.00 90.00 120.00
Element x y z (fractional)
O 0.165 0.831 0.915
O 0.165 0.250 0.335
O 0.585 0.250 0.335
Nd 0.000 0.500 0.000
Nd 0.500 0.000 0.500
O 0.835 0.750 0.665
O 0.835 0.169 0.085
O 0.585 0.669 0.335
O 0.875 0.250 0.625
O 0.415 0.750 0.085
Sn 0.500 0.500 0.000
Sn 0.500 0.500 0.500
O 0.415 0.750 0.665
O 0.585 0.250 0.915
O 0.125 0.750 0.375
Sn 0.000 0.000 0.000
O 0.415 0.331 0.665
Nd 0.000 0.500 0.500
O 0.165 0.250 0.915
O 0.835 0.750 0.085
Nd 0.000 0.000 0.500
Sn 0.500 0.000 0.000